Record 1
Compound: Tl2SnS2
Source: the Alexandria database
Functional: GGA-PBE
Structure: relaxed

Lattice parameters (Å, degrees): 7.7012 7.7012 4.5834 90.00 90.00 90.00
Closest atoms and distances in Å follow each position.
Positions (direct):
1 Tl 0.6449 0.8551 0.5000  2 S 3.01, 1 Tl 3.16
2 S 0.8236 0.6764 0.0000  2 Sn 2.84, 2 Tl 3.01
3 Tl 0.1449 0.6449 0.5000  2 S 3.01, 1 Tl 3.16
4 S 0.1764 0.3236 0.0000  2 Sn 2.84, 2 Tl 3.01
5 Tl 0.8551 0.3551 0.5000  2 S 3.01, 1 Tl 3.16
6 S 0.3236 0.8236 0.0000  2 Sn 2.84, 2 Tl 3.01
7 S 0.6764 0.1764 0.0000  2 Sn 2.84, 2 Tl 3.01
8 Sn 0.0000 0.0000 0.0000  4 S 2.84
9 Tl 0.3551 0.1449 0.5000  2 S 3.01, 1 Tl 3.16
10 Sn 0.5000 0.5000 0.0000  4 S 2.84

Summary:
For the formation energy without anion corrections, the calculation gives -0.1429 eV/atom. As for the space-group type: P4/mbm. As for the volume: 27.2 A^3/atom. The excess energy over the best structure of this formula in the dataset is 108 kJ/mol of formula units.

Record 2
Compound: TlSnS2
Source: the Alexandria database
Functional: GGA-PBE
Structure: relaxed

Lattice parameters (Å, degrees): 7.2067 7.2067 7.3088 60.46 60.46 90.00
Closest atoms and distances in Å follow each position.
Positions (direct):
1 S 0.5550 0.1250 0.2500  2 Sn 2.58
2 Tl 0.0000 0.0000 0.0000  4 S 3.21
3 S 0.3750 0.4450 0.7500  2 Sn 2.58
4 S 0.1950 0.6250 0.2500  2 Sn 2.58
5 Tl 0.7500 0.2500 0.5000  4 S 3.21
6 Sn 0.2500 0.7500 0.5000  4 S 2.58
7 Sn 0.5000 0.5000 0.0000  4 S 2.58
8 S 0.8750 0.8050 0.7500  2 Sn 2.58

Summary:
For the formation energy without anion corrections, the calculation gives -0.2740 eV/atom. As for the space-group type: I-42d. As for the volume: 34.0 A^3/atom.

Record 3
Compound: Tl2SnS
Source: the Alexandria database
Functional: GGA-PBE
Structure: relaxed

Lattice parameters (Å, degrees): 5.3390 5.3390 5.3390 60.00 60.00 60.00
Closest atoms and distances in Å follow each position.
Positions (direct):
1 Tl 0.2500 0.2500 0.2500  4 S 3.27, 4 Sn 3.27
2 Tl 0.7500 0.7500 0.7500  4 S 3.27, 4 Sn 3.27
3 Sn 0.5000 0.5000 0.5000  8 Tl 3.27
4 S 0.0000 0.0000 0.0000  8 Tl 3.27

Summary:
For the formation energy without anion corrections, the calculation gives 0.1291 eV/atom. As for the space-group type: Fm-3m. As for the volume: 26.9 A^3/atom. The excess energy over the best structure of this formula in the dataset is 58 kJ/mol of formula units.

Record 4
Compound: TlSn2S2
Source: the Alexandria database
Functional: GGA-PBE
Structure: relaxed

Lattice parameters (Å, degrees): 5.2745 5.2745 6.3540 65.48 65.48 90.00
Closest atoms and distances in Å follow each position.
Positions (direct):
1 Sn 0.3407 0.3407 0.3187  4 S 2.80
2 S 0.2500 0.7500 0.5000  4 Sn 2.80
3 Sn 0.6593 0.6593 0.6813  4 S 2.80
4 Tl 0.0000 0.0000 0.0000  2 Sn 3.50, 8 S 3.68
5 S 0.7500 0.2500 0.5000  4 Sn 2.80

Summary:
For the formation energy without anion corrections, the calculation gives -0.2164 eV/atom. As for the space-group type: I4/mmm. As for the volume: 28.6 A^3/atom. The excess energy over the best structure of this formula in the dataset is 0 kJ/mol of formula units.

Record 5
Compound: Tl4Sn2S5
Source: the Alexandria database
Functional: GGA-PBE
Structure: relaxed

Lattice parameters (Å, degrees): 4.5504 4.5504 19.3496 83.25 83.25 60.00
Closest atoms and distances in Å follow each position.
Positions (direct):
1 S 0.5000 0.5000 0.5000  6 Sn 3.01
2 Tl 0.5775 0.5775 0.2674  4 S 3.03-3.34
3 Tl 0.3118 0.3118 0.0646  3 S 2.68
4 S 0.7820 0.7820 0.6541  3 Sn 3.02, 3 Tl 3.03
5 S 0.6356 0.6356 0.0933  3 Tl 2.68
6 Sn 0.1412 0.1412 0.5765  6 S 3.01-3.02
7 Tl 0.4225 0.4225 0.7326  4 S 3.03-3.34
8 S 0.2180 0.2180 0.3459  3 Sn 3.02, 3 Tl 3.03
9 S 0.3644 0.3644 0.9067  3 Tl 2.68
10 Sn 0.8588 0.8588 0.4235  6 S 3.01-3.02
11 Tl 0.6882 0.6882 0.9354  3 S 2.68

Summary:
For the formation energy without anion corrections, the calculation gives -0.1903 eV/atom. As for the space-group type: R-3m. As for the volume: 31.3 A^3/atom.

Record 6
Compound: Tl3Sn4S8
Source: the Alexandria database
Functional: GGA-PBE
Structure: relaxed

Lattice parameters (Å, degrees): 7.8821 8.2334 8.2334 90.44 118.32 118.32
Closest atoms and distances in Å follow each position.
Positions (direct):
1 Tl 0.5000 0.0000 0.5000  6 S 2.91-2.94
2 Tl 0.5000 0.5000 0.5000  6 S 3.10-3.13
3 S 0.5000 0.2349 0.7651  3 Sn 2.75-2.93, 2 Tl 2.91
4 Sn 0.0000 0.0000 0.0000  6 S 2.61-2.65
5 S 0.0000 0.7765 0.2235  3 Sn 2.61-2.92
6 S 0.5508 0.7901 0.7901  2 Sn 2.62-2.72
7 S 0.9703 0.2144 0.2144  4 Sn 2.65-2.94
8 Tl 0.5000 0.5000 0.0000  6 S 2.91-2.94
9 S 0.5000 0.7651 0.2349  3 Sn 2.75-2.93, 2 Tl 2.91
10 Sn 0.5000 0.0000 0.0000  6 S 2.72-2.75
11 S 0.0297 0.7856 0.7856  4 Sn 2.65-2.94
12 S 0.4492 0.2099 0.2099  2 Sn 2.62-2.72
13 Sn 0.0000 0.0000 0.5000  6 S 2.92-2.94
14 Sn 0.0000 0.5000 0.0000  6 S 2.92-2.94
15 S 0.0000 0.2235 0.7765  3 Sn 2.61-2.92

Summary:
For the formation energy without anion corrections, the calculation gives -0.3130 eV/atom. As for the space-group type: C2/m. As for the volume: 26.3 A^3/atom.

Record 7
Compound: TlSn6S8
Source: the Alexandria database
Functional: GGA-PBE
Structure: relaxed

Lattice parameters (Å, degrees): 4.0724 10.5403 10.5403 120.00 90.00 90.00
Closest atoms and distances in Å follow each position.
Positions (direct):
1 Sn 0.7522 0.8588 0.5373  5 S 2.67-2.92
2 S 0.2526 0.0299 0.7010  3 Sn 2.67-2.70
3 Sn 0.7522 0.6785 0.1412  5 S 2.67-2.92
4 S 0.2526 0.6711 0.9701  3 Sn 2.67-2.70
5 S 0.7474 0.3289 0.0299  3 Sn 2.67-2.70
6 Tl 0.5000 0.0000 0.0000  6 S 3.47
7 S 0.7479 0.3333 0.6667  6 Sn 2.92
8 Sn 0.7522 0.4627 0.3215  5 S 2.67-2.92
9 S 0.7474 0.9701 0.2990  3 Sn 2.67-2.70
10 S 0.2526 0.2990 0.3289  3 Sn 2.67-2.70
11 Sn 0.2478 0.3215 0.8588  5 S 2.67-2.92
12 Sn 0.2478 0.1412 0.4627  5 S 2.67-2.92
13 Sn 0.2478 0.5373 0.6785  5 S 2.67-2.92
14 S 0.2521 0.6667 0.3333  6 Sn 2.92
15 S 0.7474 0.7010 0.6711  3 Sn 2.67-2.70

Summary:
For the formation energy without anion corrections, the calculation gives -0.3362 eV/atom. As for the space-group type: P-3. As for the volume: 26.1 A^3/atom. The excess energy over the best structure of this formula in the dataset is 0 kJ/mol of formula units.

Record 8
Compound: Tl3SnS3
Source: the Alexandria database
Functional: GGA-PBE
Structure: relaxed

Lattice parameters (Å, degrees): 7.0136 7.0136 9.1547 94.79 94.79 114.61
Closest atoms and distances in Å follow each position.
Positions (direct):
1 Sn 0.1303 0.1303 0.1917  4 S 2.54-2.71
2 Sn 0.8697 0.8697 0.8083  4 S 2.54-2.71
3 S 0.8640 0.5186 0.7066  1 Sn 2.54
4 S 0.7816 0.7816 0.0656  2 Sn 2.55-2.71
5 S 0.1360 0.4814 0.2934  1 Sn 2.54
6 Tl 0.1697 0.8303 0.5000  2 S 2.88
7 Tl 0.7095 0.2905 0.0000  6 S 3.26-3.56
8 Tl 0.3858 0.3858 0.6467  3 S 3.07-3.09, 1 Tl 3.41
9 S 0.2184 0.2184 0.9344  2 Sn 2.55-2.71
10 Tl 0.6142 0.6142 0.3533  3 S 3.07-3.09, 1 Tl 3.41
11 S 0.4814 0.1360 0.2934  1 Sn 2.54
12 Tl 0.8303 0.1697 0.5000  2 S 2.88
13 S 0.5186 0.8640 0.7066  1 Sn 2.54
14 Tl 0.2905 0.7095 0.0000  6 S 3.26-3.56

Summary:
For the formation energy without anion corrections, the calculation gives -0.3002 eV/atom. As for the space-group type: C2/m. As for the volume: 28.9 A^3/atom. The excess energy over the best structure of this formula in the dataset is 0 kJ/mol of formula units.

Record 9
Compound: TlSnS2
Source: the Alexandria database
Functional: GGA-PBE
Structure: relaxed

Lattice parameters (Å, degrees): 3.8937 3.8937 8.0568 76.02 76.02 60.00
Closest atoms and distances in Å follow each position.
Positions (direct):
1 S 0.0684 0.0684 0.7948  3 Sn 2.75
2 Sn 0.6669 0.6669 0.9993  6 S 2.73-2.75
3 Tl 0.4979 0.4979 0.5063  6 S 3.17-3.27
4 S 0.2668 0.2668 0.1996  3 Sn 2.73

Summary:
For the formation energy without anion corrections, the calculation gives -0.3533 eV/atom. As for the space-group type: R3m. As for the volume: 25.4 A^3/atom.

Record 10
Compound: Tl2SnS
Source: the Alexandria database
Functional: GGA-PBE
Structure: relaxed

Lattice parameters (Å, degrees): 3.7883 3.7883 10.1316 79.22 79.22 60.00
Closest atoms and distances in Å follow each position.
Positions (direct):
1 Sn 0.0000 0.0000 0.0000  2 Tl 3.10
2 S 0.5000 0.5000 0.5000  6 Tl 2.86
3 Tl 0.8955 0.8955 0.3134  3 S 2.86, 1 Sn 3.10
4 Tl 0.1045 0.1045 0.6866  3 S 2.86, 1 Sn 3.10

Summary:
For the formation energy without anion corrections, the calculation gives -0.0214 eV/atom. As for the space-group type: R-3m. As for the volume: 30.7 A^3/atom. The excess energy over the best structure of this formula in the dataset is 0 kJ/mol of formula units.

- Which of these has the lowest volume?
  number 9